Entry 1:
First-principles (PBE-GGA) data for a relaxed structure of Na6SnPb5, as listed in Alexandria.

Summary:
- E_tot (eV per formula unit) = -32.2
- crystal system = monoclinic
- symmetry = C2/m, No. 12
- calculated formation energy (eV/f.u.) = -1.73

a = 4.796 Å, b = 9.005 Å, c = 9.005 Å
α = 104.18°, β = 105.51°, γ = 105.51°
Sites, in units of the cell vectors:
Pb1 0.500 0.837 0.163
Na1 0.751 0.585 0.917
Sn1 0.000 0.000 0.000
Pb2 0.000 0.666 0.334
Na2 0.249 0.083 0.415
Na3 0.251 0.751 0.751
Pb3 0.000 0.334 0.666
Na4 0.249 0.415 0.083
Pb4 0.500 0.500 0.500
Na5 0.749 0.249 0.249
Na6 0.751 0.917 0.585
Pb5 0.500 0.163 0.837

Entry 2:
First-principles (PBE-GGA) data for a relaxed structure of NaSn4Pb5, as listed in Alexandria.

Summary:
- energy above the lowest structure with this stoichiometry (meV/atom) = 0
- E_tot (eV per formula unit) = -35.7
- crystal system = tetragonal
- symmetry = P4/mmm, No. 123
- calculated formation energy (eV/f.u.) = 0.21

a = 4.154 Å, b = 4.154 Å, c = 17.255 Å
α = 90.00°, β = 90.00°, γ = 90.00°
Sites, in units of the cell vectors:
Pb1 0.500 0.500 0.300
Sn1 0.000 0.000 0.800
Sn2 0.000 0.000 0.600
Pb2 0.500 0.500 0.896
Sn3 0.000 0.000 0.200
Na1 0.000 0.000 0.000
Pb3 0.500 0.500 0.700
Sn4 0.000 0.000 0.400
Pb4 0.500 0.500 0.500
Pb5 0.500 0.500 0.104

Entry 3:
First-principles (PBE-GGA) data for a relaxed structure of NaSn3Pb6, as listed in Alexandria.

Summary:
- energy above the lowest structure with this stoichiometry (meV/atom) = 209
- E_tot (eV per formula unit) = -33.1
- crystal system = trigonal
- symmetry = R3m, No. 160
- calculated formation energy (eV/f.u.) = 2.46

a = 3.438 Å, b = 11.640 Å, c = 11.640 Å
α = 119.04°, β = 95.65°, γ = 95.65°
Sites, in units of the cell vectors:
Pb1 0.440 0.264 0.000
Pb2 0.598 0.000 0.725
Sn1 0.526 0.505 0.505
Pb3 0.177 0.736 0.736
Pb4 0.598 0.725 0.000
Sn2 0.021 0.495 0.000
Pb5 0.440 0.000 0.264
Na1 0.967 0.000 0.000
Pb6 0.873 0.275 0.275
Sn3 0.021 0.000 0.495

Entry 4:
First-principles (PBE-GGA) data for a relaxed structure of NaSnPb5, as listed in Alexandria.

Summary:
- E_tot (eV per formula unit) = -23.9
- crystal system = tetragonal
- symmetry = P4/mmm, No. 123
- calculated formation energy (eV/f.u.) = 0.01

a = 5.433 Å, b = 5.433 Å, c = 7.642 Å
α = 90.00°, β = 90.00°, γ = 90.00°
Sites, in units of the cell vectors:
Pb1 0.500 0.500 0.000
Pb2 0.500 0.000 0.273
Pb3 0.000 0.500 0.727
Sn1 0.000 0.000 0.500
Na1 0.000 0.000 0.000
Pb4 0.000 0.500 0.273
Pb5 0.500 0.000 0.727

Entry 5:
First-principles (PBE-GGA) data for a relaxed structure of Na8SnPb2, as listed in Alexandria.

Summary:
- energy above the lowest structure with this stoichiometry (meV/atom) = 91
- E_tot (eV per formula unit) = -22.5
- crystal system = monoclinic
- symmetry = C2/m, No. 12
- calculated formation energy (eV/f.u.) = -0.51

a = 5.696 Å, b = 7.960 Å, c = 8.877 Å
α = 112.75°, β = 103.58°, γ = 101.07°
Sites, in units of the cell vectors:
Pb1 0.313 0.313 0.625
Na1 0.711 0.211 0.421
Na2 0.687 0.388 0.000
Na3 0.289 0.789 0.579
Pb2 0.687 0.687 0.375
Na4 0.182 0.320 0.233
Na5 0.313 0.612 0.000
Na6 0.949 0.087 0.767
Na7 0.051 0.913 0.233
Sn1 0.500 0.000 0.000
Na8 0.818 0.680 0.767

Entry 6:
First-principles (PBE-GGA) data for a relaxed structure of Na7Sn2Pb2, as listed in Alexandria.

Summary:
- energy above the lowest structure with this stoichiometry (meV/atom) = 40
- E_tot (eV per formula unit) = -25.7
- crystal system = orthorhombic
- symmetry = Imm2, No. 44
- calculated formation energy (eV/f.u.) = -1.00

a = 3.339 Å, b = 10.918 Å, c = 10.918 Å
α = 59.60°, β = 81.20°, γ = 81.20°
Sites, in units of the cell vectors:
Na1 0.408 0.680 0.504
Sn1 0.500 0.338 0.662
Na2 0.166 0.701 0.967
Pb1 0.247 0.338 0.167
Na3 0.500 0.052 0.948
Na4 0.150 0.143 0.557
Sn2 0.000 0.797 0.203
Pb2 0.753 0.833 0.662
Na5 0.834 0.033 0.299
Na6 0.850 0.443 0.857
Na7 0.592 0.496 0.320

Copy entry 6 word for word.
First-principles (PBE-GGA) data for a relaxed structure of Na7Sn2Pb2, as listed in Alexandria.

Summary:
- energy above the lowest structure with this stoichiometry (meV/atom) = 40
- E_tot (eV per formula unit) = -25.7
- crystal system = orthorhombic
- symmetry = Imm2, No. 44
- calculated formation energy (eV/f.u.) = -1.00

a = 3.339 Å, b = 10.918 Å, c = 10.918 Å
α = 59.60°, β = 81.20°, γ = 81.20°
Sites, in units of the cell vectors:
Na1 0.408 0.680 0.504
Sn1 0.500 0.338 0.662
Na2 0.166 0.701 0.967
Pb1 0.247 0.338 0.167
Na3 0.500 0.052 0.948
Na4 0.150 0.143 0.557
Sn2 0.000 0.797 0.203
Pb2 0.753 0.833 0.662
Na5 0.834 0.033 0.299
Na6 0.850 0.443 0.857
Na7 0.592 0.496 0.320

Q: Look up the E_tot of the fourth one.
A: -23.9 eV per formula unit